## Pm3SmRh (PBE)

Data for a relaxed Pm3SmRh crystal.

a b c (Å): 3.8191 11.1958 14.4424
angles (deg): 90.00 90.00 90.00
With the nearest neighbours (Å) after each atom.
Positions (direct):
Rh 0.7500 0.8129 0.3801  2 Sm 2.85, 5 Pm 2.90-3.08
Rh 0.2500 0.1871 0.6199  2 Sm 2.85, 5 Pm 2.90-3.08
Rh 0.7500 0.3129 0.1199  2 Sm 2.85, 5 Pm 2.90-3.08
Rh 0.2500 0.6871 0.8801  2 Sm 2.85, 5 Pm 2.90-3.08
Pm 0.7500 0.2120 0.7699  2 Rh 2.90
Pm 0.2500 0.5150 0.1045  2 Rh 2.97
Pm 0.7500 0.9850 0.6045  2 Rh 2.97
Pm 0.2500 0.7880 0.2301  2 Rh 2.90
Pm 0.2500 0.4525 0.6755  1 Rh 3.08
Pm 0.2500 0.2880 0.2699  2 Rh 2.90
Pm 0.7500 0.0475 0.1755  1 Rh 3.08
Pm 0.7500 0.7120 0.7301  2 Rh 2.90
Pm 0.2500 0.9525 0.8245  1 Rh 3.08
Pm 0.2500 0.0150 0.3955  2 Rh 2.97
Pm 0.7500 0.5475 0.3245  1 Rh 3.08
Pm 0.7500 0.4850 0.8955  2 Rh 2.97
Sm 0.7500 0.2890 0.4962  2 Rh 2.85
Sm 0.2500 0.7110 0.5038  2 Rh 2.85
Sm 0.2500 0.2110 0.9962  2 Rh 2.85
Sm 0.7500 0.7890 0.0038  2 Rh 2.85

Calculated values
The formation energy comes out at -26.99 kJ per mole of atoms. The density of states at the Fermi level is 6.3 states/eV/f.u.



## Pm4SmRh5 (PBE)

Data for a relaxed Pm4SmRh5 crystal.

a b c (Å): 3.5543 3.5543 17.1790
angles (deg): 90.00 90.00 90.00
With the nearest neighbours (Å) after each atom.
Positions (direct):
Rh 0.5000 0.5000 0.7003  8 Pm 3.05
Rh 0.5000 0.5000 0.0990  4 Sm 3.03, 4 Pm 3.05
Rh 0.5000 0.5000 0.2997  8 Pm 3.05
Rh 0.5000 0.5000 0.9010  4 Sm 3.03, 4 Pm 3.05
Rh 0.5000 0.5000 0.5000  8 Pm 3.05
Pm 0.0000 0.0000 0.8005  8 Rh 3.05
Pm 0.0000 0.0000 0.1995  8 Rh 3.05
Pm 0.0000 0.0000 0.3998  8 Rh 3.05
Pm 0.0000 0.0000 0.6002  8 Rh 3.05
Sm 0.0000 0.0000 0.0000  8 Rh 3.03

Calculated values
The formation energy comes out at -66.02 kJ per mole of atoms. The density of states at the Fermi level is 8.3 states/eV/f.u.



## Pm3SmRh3 (PBE)

Data for a relaxed Pm3SmRh3 crystal.

a b c (Å): 7.0252 7.0252 7.1284
angles (deg): 90.45 90.45 96.78
With the nearest neighbours (Å) after each atom.
Positions (direct):
Pm 0.8188 0.1812 0.5000  6 Rh 2.91-2.97
Pm 0.6715 0.6715 0.3762  3 Rh 2.82-2.84
Pm 0.3285 0.3285 0.6238  3 Rh 2.82-2.84
Pm 0.7526 0.2474 0.0000  6 Rh 3.01-3.03
Pm 0.1812 0.8188 0.5000  6 Rh 2.91-2.97
Pm 0.2474 0.7526 0.0000  6 Rh 3.01-3.03
Rh 0.4981 0.9972 0.7288  1 Sm 2.82, 5 Pm 2.84-3.03
Rh 0.0028 0.5019 0.2712  1 Sm 2.82, 5 Pm 2.84-3.03
Rh 0.9393 0.9393 0.1979  5 Pm 2.82-3.01, 2 Sm 2.87-2.94, 1 Rh 3.05
Rh 0.5019 0.0028 0.2712  1 Sm 2.82, 5 Pm 2.84-3.03
Rh 0.0607 0.0607 0.8021  5 Pm 2.82-3.01, 2 Sm 2.87-2.94, 1 Rh 3.05
Rh 0.9972 0.4981 0.7288  1 Sm 2.82, 5 Pm 2.84-3.03
Sm 0.7509 0.7509 0.8759  4 Rh 2.82-2.94
Sm 0.2491 0.2491 0.1241  4 Rh 2.82-2.94

Calculated values
The formation energy comes out at -56.14 kJ per mole of atoms. The density of states at the Fermi level is 4.7 states/eV/f.u.



## PmSm3Rh (PBE)

Data for a relaxed PmSm3Rh crystal.

a b c (Å): 3.8522 6.3978 12.8334
angles (deg): 86.10 81.37 72.48
With the nearest neighbours (Å) after each atom.
Positions (direct):
Sm 0.4306 0.6218 0.5170  10 Sm 3.56-3.89, 2 Pm 3.66, 1 Rh 3.74
Sm 0.4409 0.9636 0.1545  2 Rh 2.90
Sm 0.9910 0.1112 0.9069  3 Rh 2.86-3.04
Sm 0.7709 0.7048 0.7535  2 Rh 2.91
Sm 0.7815 0.0450 0.3921  9 Sm 3.56-3.89, 3 Pm 3.60-3.68, 1 Rh 3.75
Sm 0.0987 0.1742 0.6284  2 Rh 2.98
Pm 0.2208 0.5576 0.0008  3 Rh 2.86-3.05
Pm 0.1130 0.4928 0.2811  2 Rh 3.00
Rh 0.7809 0.3151 0.1231  4 Pm 2.86-3.00, 3 Sm 2.90-3.04
Rh 0.4325 0.3509 0.7842  6 Sm 2.86-2.98, 1 Pm 3.05

Calculated values
The formation energy comes out at -32.08 kJ per mole of atoms. The density of states at the Fermi level is 5.5 states/eV/f.u.



## Pm5Sm2Rh4 (PBE)

Data for a relaxed Pm5Sm2Rh4 crystal.

a b c (Å): 3.7034 6.9622 12.3672
angles (deg): 87.01 98.61 90.00
With the nearest neighbours (Å) after each atom.
Positions (direct):
Rh 0.6683 0.5194 0.3366  5 Pm 2.88-2.90, 2 Sm 3.02
Rh 0.9734 0.2989 0.9467  2 Sm 2.75-2.79, 3 Pm 2.79-2.84
Rh 0.0266 0.7011 0.0533  2 Sm 2.75-2.79, 3 Pm 2.79-2.84
Rh 0.3317 0.4806 0.6634  5 Pm 2.88-2.90, 2 Sm 3.02
Pm 0.8665 0.1776 0.7329  3 Rh 2.79-2.90
Pm 0.5000 0.0000 0.0000  4 Rh 2.84
Pm 0.7689 0.7191 0.5379  3 Rh 2.88-2.89
Pm 0.2311 0.2809 0.4621  3 Rh 2.88-2.89
Pm 0.1335 0.8224 0.2671  3 Rh 2.79-2.90
Sm 0.9144 0.6472 0.8288  4 Rh 2.75-3.02
Sm 0.0856 0.3528 0.1712  4 Rh 2.75-3.02

Calculated values
The formation energy comes out at -34.66 kJ per mole of atoms. The density of states at the Fermi level is 8.3 states/eV/f.u.



## Pm3SmRh (PBE)

Data for a relaxed Pm3SmRh crystal.

a b c (Å): 5.5545 5.5545 5.5545
angles (deg): 90.00 90.00 90.00
With the nearest neighbours (Å) after each atom.
Positions (direct):
Pm 0.5000 0.0000 0.0000  2 Rh 2.78
Pm 0.0000 0.0000 0.5000  2 Rh 2.78
Pm 0.0000 0.5000 0.0000  2 Rh 2.78
Sm 0.5000 0.5000 0.5000  12 Pm 3.93
Rh 0.0000 0.0000 0.0000  6 Pm 2.78

Calculated values
The formation energy comes out at -13.93 kJ per mole of atoms. The density of states at the Fermi level is 8.4 states/eV/f.u.



## PmSm4Rh (PBE)

Data for a relaxed PmSm4Rh crystal.

a b c (Å): 6.0112 7.5893 9.4898
angles (deg): 113.57 108.49 90.00
With the nearest neighbours (Å) after each atom.
Positions (direct):
Sm 0.3834 0.6350 0.7667  2 Rh 3.04
Sm 0.0000 0.7942 0.0000  2 Rh 2.75
Sm 0.0000 0.2058 0.0000  2 Rh 2.75
Sm 0.6166 0.3650 0.2333  2 Rh 3.04
Sm 0.6166 0.8683 0.2333  2 Rh 3.04
Sm 0.8287 0.3287 0.6575  2 Rh 3.22-3.23, 2 Sm 3.58
Sm 0.1713 0.6713 0.3425  2 Rh 3.22-3.23, 2 Sm 3.58
Sm 0.3834 0.1317 0.7667  2 Rh 3.04
Rh 0.2679 0.4999 0.9998  6 Sm 2.75-3.04, 1 Rh 2.79
Rh 0.7321 0.5001 0.0002  6 Sm 2.75-3.04, 1 Rh 2.79
Pm 0.1983 0.1984 0.3968  12 Sm 3.57-3.82
Pm 0.8017 0.8016 0.6032  12 Sm 3.57-3.82

Calculated values
The formation energy comes out at -20.21 kJ per mole of atoms. The density of states at the Fermi level is 7.3 states/eV/f.u.



## PmSm2Rh2 (PBE)

Data for a relaxed PmSm2Rh2 crystal.

a b c (Å): 3.9528 7.5288 8.9030
angles (deg): 90.00 102.83 90.00
With the nearest neighbours (Å) after each atom.
Positions (direct):
Sm 0.9687 0.7484 0.9374  5 Rh 2.87-3.03
Sm 0.0313 0.2484 0.0626  5 Rh 2.87-3.03
Sm 0.8116 0.0246 0.6231  5 Rh 2.95-3.09
Sm 0.1884 0.5246 0.3769  5 Rh 2.95-3.09
Pm 0.6230 0.9136 0.2460  3 Rh 2.84-3.01
Pm 0.3770 0.4136 0.7540  3 Rh 2.84-3.01
Rh 0.5519 0.5496 0.1038  6 Sm 2.87-3.09, 2 Pm 3.01-3.21
Rh 0.4481 0.0496 0.8962  6 Sm 2.87-3.09, 2 Pm 3.01-3.21
Rh 0.8058 0.6295 0.6117  2 Pm 2.84, 4 Sm 2.95-2.98
Rh 0.1942 0.1295 0.3883  2 Pm 2.84, 4 Sm 2.95-2.98

Calculated values
The formation energy comes out at -50.01 kJ per mole of atoms. The density of states at the Fermi level is 3.9 states/eV/f.u.



## PmSm2Rh2 (PBE)

Data for a relaxed PmSm2Rh2 crystal.

a b c (Å): 3.8683 4.7389 13.5851
angles (deg): 90.00 98.19 90.00
With the nearest neighbours (Å) after each atom.
Positions (direct):
Rh 0.1598 0.2500 0.3196  3 Sm 2.77-2.91
Rh 0.8402 0.7500 0.6804  3 Sm 2.77-2.91
Rh 0.4670 0.2500 0.9339  1 Pm 2.75, 2 Rh 2.96, 2 Sm 2.98
Rh 0.5330 0.7500 0.0661  1 Pm 2.75, 2 Rh 2.96, 2 Sm 2.98
Pm 0.3647 0.2500 0.7295  1 Rh 2.75
Pm 0.6353 0.7500 0.2705  1 Rh 2.75
Sm 0.7333 0.2500 0.4665  2 Rh 2.77
Sm 0.2667 0.7500 0.5335  2 Rh 2.77
Sm 0.0514 0.2500 0.1028  7 Rh 2.91-3.10
Sm 0.9486 0.7500 0.8972  7 Rh 2.91-3.10

Calculated values
The formation energy comes out at -52.12 kJ per mole of atoms. The density of states at the Fermi level is 3.1 states/eV/f.u.



## PmSm2Rh (PBE)

Data for a relaxed PmSm2Rh crystal.

a b c (Å): 3.8767 6.3516 9.7880
angles (deg): 90.00 90.00 107.79
With the nearest neighbours (Å) after each atom.
Positions (direct):
Sm 0.1391 0.2784 0.4319  2 Rh 2.89
Sm 0.8609 0.7216 0.9319  2 Rh 2.89
Sm 0.1391 0.2784 0.0681  2 Rh 2.89
Sm 0.8609 0.7216 0.5681  2 Rh 2.89
Pm 0.5803 0.1602 0.7500  2 Rh 2.94
Pm 0.4197 0.8398 0.2500  2 Rh 2.94
Rh 0.2631 0.5257 0.7500  4 Sm 2.89, 2 Pm 2.94
Rh 0.7369 0.4743 0.2500  4 Sm 2.89, 2 Pm 2.94

Calculated values
The formation energy comes out at -40.75 kJ per mole of atoms. The density of states at the Fermi level is 5.3 states/eV/f.u.